A plane-wave DFT calculation with GGA-PBE was carried out for crystalline ReTe2Ir at its relaxed geometry.

Output
For the volume, the calculation gives 20.784 Å³ per atom. The calculation puts the uncorrected formation energy at 0.75 eV/atom. The total energy comes out at -6.15 eV per atom. Its crystal system is trigonal.

```
ReTe2Ir
1.0
1.890 0.000 8.956
-0.945 1.637 8.956
-0.945 -1.637 8.956
Ir Te Re
1 2 1
Direct
0.000 0.000 0.000 Ir
0.094 0.094 0.094 Te
0.906 0.906 0.906 Te
0.500 0.500 0.500 Re
```


A plane-wave DFT calculation with GGA-PBE was carried out for crystalline Cr2CdRh at its relaxed geometry.

Output
For the volume, the calculation gives 14.520 Å³ per atom. As for the energy of formation from the pure elements: 0.434 eV/atom. The total energy comes out at -6.44 eV per atom. Its crystal system is tetragonal.

```
Cr2CdRh
1.0
4.863 -0.124 0.000
2.039 4.416 0.000
-3.451 -2.146 2.673
Cr Cd Rh
2 1 1
Direct
0.000 0.000 0.000 Cr
0.500 0.500 0.000 Cr
0.750 0.250 0.500 Cd
0.250 0.750 0.500 Rh
```


What did the first record say?
A plane-wave DFT calculation with GGA-PBE was carried out for crystalline ReTe2Ir at its relaxed geometry.

Output
For the volume, the calculation gives 20.784 Å³ per atom. The calculation puts the uncorrected formation energy at 0.75 eV/atom. The total energy comes out at -6.15 eV per atom. Its crystal system is trigonal.

```
ReTe2Ir
1.0
1.890 0.000 8.956
-0.945 1.637 8.956
-0.945 -1.637 8.956
Ir Te Re
1 2 1
Direct
0.000 0.000 0.000 Ir
0.094 0.094 0.094 Te
0.906 0.906 0.906 Te
0.500 0.500 0.500 Re
```


Please write out number 1 again, unchanged.
A plane-wave DFT calculation with GGA-PBE was carried out for crystalline ReTe2Ir at its relaxed geometry.

Output
For the volume, the calculation gives 20.784 Å³ per atom. The calculation puts the uncorrected formation energy at 0.75 eV/atom. The total energy comes out at -6.15 eV per atom. Its crystal system is trigonal.

```
ReTe2Ir
1.0
1.890 0.000 8.956
-0.945 1.637 8.956
-0.945 -1.637 8.956
Ir Te Re
1 2 1
Direct
0.000 0.000 0.000 Ir
0.094 0.094 0.094 Te
0.906 0.906 0.906 Te
0.500 0.500 0.500 Re
```